# 1
! GGA-PBE ZnGeSbPt2, relaxed; values from VASP
&SYSTEM
  ibrav = 0, nat = 5, ntyp = 4
/
ATOMIC_SPECIES
Zn 65.41 Zn.upf
Ge 72.64 Ge.upf
Sb 121.76 Sb.upf
Pt 195.08 Pt.upf
CELL_PARAMETERS angstrom
4.670 0.000 0.000
0.000 4.670 0.000
0.000 0.000 5.420
ATOMIC_POSITIONS angstrom
Zn 0.000 0.000 0.000
Ge 2.335 2.335 2.710
Sb 2.335 2.335 0.000
Pt 0.000 2.335 2.710
Pt 2.335 0.000 2.710
! - calculated volume (Å³/cell) = 118
! - ΔE_f (raw) (eV per atom) = 0.584
! - magnetic moment (μB/f.u.) = 0.0

---

# 2
! GGA-PBE Tb3Rh2, relaxed; values from VASP
&SYSTEM
  ibrav = 0, nat = 10, ntyp = 2
/
ATOMIC_SPECIES
Tb 158.93 Tb.upf
Rh 102.91 Rh.upf
CELL_PARAMETERS angstrom
3.413 1.970 6.416
-3.413 1.970 6.416
0.000 -3.941 6.416
ATOMIC_POSITIONS angstrom
Tb -2.230 0.078 8.020
Tb -1.183 -1.892 11.228
Tb 1.047 -1.970 8.020
Tb -1.047 1.970 11.228
Tb 1.183 1.892 8.020
Tb 2.230 -0.078 11.228
Rh 0.000 0.000 3.314
Rh 0.000 0.000 6.310
Rh 0.000 0.000 12.938
Rh 0.000 0.000 15.934
! - energy of formation (eV/atom) = -0.67
! - calculated volume (Å³/cell) = 259
! - magnetic moment (μB/f.u.) = 0.0

---

# 3
! GGA-PBE LiAsPt2, relaxed; values from VASP
&SYSTEM
  ibrav = 0, nat = 4, ntyp = 3
/
ATOMIC_SPECIES
Li 6.94 Li.upf
As 74.92 As.upf
Pt 195.08 Pt.upf
CELL_PARAMETERS angstrom
-1.998 1.998 3.718
1.998 -1.998 3.718
1.998 1.998 -3.718
ATOMIC_POSITIONS angstrom
Li 0.000 0.000 0.000
As 0.000 0.000 3.718
Pt 1.998 0.000 1.859
Pt 0.000 1.998 1.859
! - energy of formation (eV/atom) = -0.45
! - calculated volume (Å³/cell) = 59
! - magnetic moment (μB/f.u.) = 0.0